1.
Material: RePtSe2N
Method: DFT, PBE
State: optimized geometry

Results
Excess energy over the best structure of this formula in the dataset ... 0 meV per atom
Formation energy without anion corrections ... 3.1 eV/f.u.
Calculated volume ... 91.40 Å³ per cell

Cell: 4.974 4.974 3.694 Å, 90.00 90.00 90.00°
Space group P4/mmm (No. 123)
One atom of each set of equivalent atoms:
Re (0.000, 0.000, 0.000) [1 per cell]
Pt (0.500, 0.500, 0.500) [1 per cell]
Se (0.000, 0.500, 0.000) [2 per cell]
N (0.000, 0.000, 0.500) [1 per cell]

***

2.
Material: Ba2Be2Ru
Method: DFT, PBE
State: optimized geometry

Results
Formation energy from the elements ... 791 meV per atom
Excess energy over the best structure of this formula in the dataset ... 0 meV per atom
Calculated volume ... 239.02 Å³ per cell

Cell: 3.380 3.380 20.916 Å, 90.00 90.00 90.00°
Space group I4/mmm (No. 139)
One atom of each set of equivalent atoms:
Ba (0.000, 0.000, 0.098) [4 per cell]
Be (0.000, 0.500, 0.250) [4 per cell]
Ru (0.000, 0.000, 0.500) [2 per cell]

***

3.
Material: CaNi3As3
Method: DFT, PBE
State: optimized geometry

Results
Formation energy from the elements ... -458 meV per atom
Excess energy over the best structure of this formula in the dataset ... 0 meV per atom
Calculated volume ... 797.77 Å³ per cell

Cell: 6.7242 6.7242 20.3734 Å, 90.00 90.00 120.00°
Space group R-3 (No. 148, hexagonal axes)
One atom of each set of equivalent atoms:
Ca (0.0000, 0.0000, 0.1670) [6 per cell]
Ni (0.0005, 0.3422, 0.3736) [18 per cell]
As (0.0011, 0.3192, 0.5933) [18 per cell]

***

4.
Material: CdFe4Ir
Method: DFT, PBE
State: optimized geometry

Results
Formation energy from the elements ... 134 meV per atom
Calculated volume ... 323.90 Å³ per cell

Cell: 6.868 6.868 6.868 Å, 90.00 90.00 90.00°
Space group F-43m (No. 216)
One atom of each set of equivalent atoms:
Cd (0.000, 0.000, 0.000) [4 per cell]
Fe (0.125, 0.125, 0.625) [16 per cell]
Ir (0.250, 0.250, 0.250) [4 per cell]